No. 1
First-principles (PBE-GGA) data for HfPa2MnN5 after structural relaxation, as listed in Alexandria.

Unit cell a=6.728 b=6.728 c=10.226 alpha=90.00 beta=90.00 gamma=151.83
Fractional positions:
Hf: 0.201 0.799 0.500
Hf: 0.799 0.201 0.000
Pa: 0.104 0.896 0.175
Pa: 0.144 0.856 0.797
Pa: 0.856 0.144 0.297
Pa: 0.896 0.104 0.675
Mn: 0.479 0.521 0.952
Mn: 0.521 0.479 0.452
N: 0.046 0.954 0.559
N: 0.280 0.720 0.155
N: 0.325 0.675 0.862
N: 0.369 0.631 0.491
N: 0.485 0.515 0.270
N: 0.515 0.485 0.770
N: 0.631 0.369 0.991
N: 0.675 0.325 0.362
N: 0.720 0.280 0.655
N: 0.954 0.046 0.059

Output
The space group is Cmc2_1 (36). For the total magnetization, the calculation gives 3.077 μB/cell. The calculation puts the total energy at -183.69 eV for the cell shown.

***

No. 2
First-principles (PBE-GGA) data for Ta2TlTe after structural relaxation, as listed in Alexandria.

Unit cell a=9.371 b=9.371 c=9.371 alpha=19.88 beta=19.88 gamma=19.88
Fractional positions:
Ta: 0.245 0.245 0.245
Ta: 0.755 0.755 0.755
Tl: 0.000 0.000 0.000
Te: 0.500 0.500 0.500

Output
For the excess energy over the best structure of this formula in the dataset, the calculation gives 294.6 meV per atom. The space group is R-3m (166). For the total magnetization, the calculation gives 0.000 μB/cell.

***

No. 3
First-principles (PBE-GGA) data for Nb2HgSb after structural relaxation, as listed in Alexandria.

Unit cell a=4.807 b=4.807 c=4.807 alpha=60.00 beta=60.00 gamma=60.00
Fractional positions:
Nb: 0.250 0.250 0.250
Nb: 0.750 0.750 0.750
Hg: 0.000 0.000 0.000
Sb: 0.500 0.500 0.500

Output
For the excess energy over the best structure of this formula in the dataset, the calculation gives 0.0 meV per atom. The space group is Fm-3m (225). For the total magnetization, the calculation gives 0.000 μB/cell.